No. 1
Density functional theory data (PBE-GGA) for crystalline LiHo8Tc2 at its relaxed geometry.

As for the density of states at the Fermi level: 0.9794 states/eV/atom. The formation energy comes out at 0.008 eV per atom.

The structure belongs to space group C2/m (No. 12); the cell edges are 8.685, 12.843 and 5.668 Å and the angles 90.00°, 105.15° and 90.00°. The asymmetric unit holds Li at (0.000, 0.000, 0.000), Ho at (0.000, 0.244, 0.000), Ho at (0.110, 0.500, 0.796), Ho at (0.200, 0.132, 0.584) and Tc at (0.000, 0.313, 0.500).

***

No. 2
Density functional theory data (PBE-GGA) for crystalline LaTb7Hg2 at its relaxed geometry.

As for the density of states at the Fermi level: 2.1742 states/eV/atom. The formation energy comes out at 0.273 eV per atom.

The structure belongs to space group Cmmm (No. 65); the cell edges are 9.129, 15.058 and 5.480 Å and the angles 90.00°, 90.00° and 90.00°. The asymmetric unit holds La at (0.000, 0.000, 0.000), Tb at (0.000, 0.246, 0.000), Tb at (0.000, 0.500, 0.500), Tb at (0.182, 0.124, 0.500) and Hg at (0.000, 0.305, 0.500).

***

No. 3
Density functional theory data (PBE-GGA) for crystalline PrEr2In2Hg2 at its relaxed geometry.

As for the density of states at the Fermi level: 0.6261 states/eV/atom. The formation energy comes out at -0.302 eV per atom.

The structure belongs to space group R-3m (No. 166, hexagonal axes); the cell edges are 4.9627, 4.9627 and 26.7579 Å and the angles 90.00°, 90.00° and 120.00°. The asymmetric unit holds Pr at (0.0000, 0.0000, 0.0000), Er at (0.0000, 0.0000, 0.1330), In at (0.0000, 0.0000, 0.2649) and Hg at (0.0000, 0.0000, 0.4329).

***

No. 4
Density functional theory data (PBE-GGA) for crystalline Si2AgRu2 at its relaxed geometry.

As for the density of states at the Fermi level: 0.4656 states/eV/atom. For the formation energy (no corrections), the calculation gives -0.370 eV per atom.

The structure belongs to space group P4/mbm (No. 127); the cell edges are 7.006, 7.006 and 2.858 Å and the angles 90.00°, 90.00° and 90.00°. The asymmetric unit holds Si at (0.142, 0.358, 0.000), Ag at (0.000, 0.000, 0.000) and Ru at (0.150, 0.650, 0.500).

***

Size of the total moment list, top to bottom, in μB/atom: 0.000, 0.137, 0.000, 0.000